Entry 1:
Density functional theory data (GGA-PBE) for a relaxed LaPr12Y6 crystal.

Lattice parameters (Å, degrees): 8.7903 8.7903 8.7903 89.01 89.01 89.01
Last column: nearest neighbours and their distance in Å.
Fractional coordinates of all 19 atoms:
Pr (0.9819, 0.8031, 0.6373)  4 Pr 3.50-3.68, 4 Y 3.59-3.76, 1 La 3.66
Pr (0.6373, 0.9819, 0.8031)  4 Pr 3.50-3.68, 4 Y 3.59-3.76, 1 La 3.66
Pr (0.8031, 0.6373, 0.9819)  4 Pr 3.50-3.68, 4 Y 3.59-3.76, 1 La 3.66
Pr (0.2188, 0.4641, 0.5672)  4 Pr 3.39-3.66, 3 Y 3.40-3.55
Pr (0.5359, 0.4328, 0.7812)  4 Pr 3.39-3.66, 3 Y 3.40-3.55
Pr (0.1969, 0.3627, 0.0181)  4 Pr 3.50-3.68, 4 Y 3.59-3.76, 1 La 3.66
Pr (0.3627, 0.0181, 0.1969)  4 Pr 3.50-3.68, 4 Y 3.59-3.76, 1 La 3.66
Pr (0.5672, 0.2188, 0.4641)  4 Pr 3.39-3.66, 3 Y 3.40-3.55
Pr (0.0181, 0.1969, 0.3627)  4 Pr 3.50-3.68, 4 Y 3.59-3.76, 1 La 3.66
Pr (0.4328, 0.7812, 0.5359)  4 Pr 3.39-3.66, 3 Y 3.40-3.55
Pr (0.7812, 0.5359, 0.4328)  4 Pr 3.39-3.66, 3 Y 3.40-3.55
Pr (0.4641, 0.5672, 0.2188)  4 Pr 3.39-3.66, 3 Y 3.40-3.55
Y (0.2593, 0.1001, 0.7008)  7 Pr 3.40-3.76, 1 La 3.56, 2 Y 3.60
Y (0.7008, 0.2593, 0.1001)  7 Pr 3.40-3.76, 1 La 3.56, 2 Y 3.60
Y (0.8999, 0.2992, 0.7407)  7 Pr 3.40-3.76, 1 La 3.56, 2 Y 3.60
Y (0.1001, 0.7008, 0.2593)  7 Pr 3.40-3.76, 1 La 3.56, 2 Y 3.60
Y (0.7407, 0.8999, 0.2992)  7 Pr 3.40-3.76, 1 La 3.56, 2 Y 3.60
Y (0.2992, 0.7407, 0.8999)  7 Pr 3.40-3.76, 1 La 3.56, 2 Y 3.60
La (0.0000, 0.0000, 0.0000)  6 Y 3.56, 6 Pr 3.66

Magnetization ... 0.00 μB per cell
Uncorrected energy ... -5.196 eV/atom
Formation energy from the elements ... 0.124 eV per atom

Entry 2:
Density functional theory data (GGA-PBE) for a relaxed La7Pr3Y crystal.

Lattice parameters (Å, degrees): 6.6315 7.9042 7.9042 82.22 86.34 86.34
Last column: nearest neighbours and their distance in Å.
Fractional coordinates of all 11 atoms:
La (0.2645, 0.0763, 0.4311)  5 La 3.37-3.77, 3 Pr 3.62-3.76
La (0.0000, 0.5000, 0.5000)  2 Y 3.32, 2 Pr 3.42, 2 La 3.52
La (0.7355, 0.9237, 0.5689)  5 La 3.37-3.77, 3 Pr 3.62-3.76
La (0.7848, 0.2397, 0.2397)  5 La 3.37-3.69, 1 Y 3.49, 3 Pr 3.55-3.56
La (0.2152, 0.7603, 0.7603)  5 La 3.37-3.69, 1 Y 3.49, 3 Pr 3.55-3.56
La (0.7355, 0.5689, 0.9237)  5 La 3.37-3.77, 3 Pr 3.62-3.76
La (0.2645, 0.4311, 0.0763)  5 La 3.37-3.77, 3 Pr 3.62-3.76
Pr (0.0000, 0.1712, 0.8288)  7 La 3.42-3.65, 3 Pr 3.56-3.76
Pr (0.0000, 0.8288, 0.1712)  7 La 3.42-3.65, 3 Pr 3.56-3.76
Pr (0.5000, 0.0000, 0.0000)  6 La 3.55-3.76, 4 Pr 3.76
Y (0.5000, 0.5000, 0.5000)  4 La 3.32-3.49

Magnetization ... 0.00 μB per cell
Uncorrected energy ... -4.817 eV/atom
Formation energy from the elements ... 0.209 eV per atom

Entry 3:
Density functional theory data (GGA-PBE) for a relaxed La3Pr7Y2 crystal.

Lattice parameters (Å, degrees): 3.6279 6.6192 18.6172 75.48 90.00 90.00
Last column: nearest neighbours and their distance in Å.
Fractional coordinates of all 12 atoms:
Pr (0.0000, 0.5619, 0.1687)  2 Y 3.61, 7 Pr 3.63-3.81, 3 La 3.74
Pr (0.0000, 0.0000, 0.0000)  8 Pr 3.63-3.73, 4 La 3.77
Pr (0.5000, 0.2429, 0.5015)  2 Pr 3.23-3.39, 2 Y 3.48-3.52
Pr (0.5000, 0.0556, 0.1689)  1 Y 3.61, 8 Pr 3.63-3.81, 3 La 3.73-3.75
Pr (0.5000, 0.9444, 0.8311)  1 Y 3.61, 8 Pr 3.63-3.81, 3 La 3.73-3.75
Pr (0.5000, 0.7571, 0.4985)  2 Pr 3.23-3.39, 2 Y 3.48-3.52
Pr (0.0000, 0.4381, 0.8313)  2 Y 3.61, 7 Pr 3.63-3.81, 3 La 3.74
La (0.5000, 0.5000, 0.0000)  2 La 3.63, 10 Pr 3.73-3.77
La (0.0000, 0.8838, 0.6617)  2 La 3.63, 7 Pr 3.74-3.81, 4 Y 3.76-3.79
La (0.0000, 0.1162, 0.3383)  2 La 3.63, 7 Pr 3.74-3.81, 4 Y 3.76-3.79
Y (0.5000, 0.6189, 0.3302)  5 Pr 3.48-3.61, 2 Y 3.63, 4 La 3.76-3.79
Y (0.5000, 0.3811, 0.6698)  5 Pr 3.48-3.61, 2 Y 3.63, 4 La 3.76-3.79

Magnetization ... 0.00 μB per cell
Uncorrected energy ... -5.026 eV/atom
Formation energy from the elements ... 0.071 eV per atom

Entry 4:
Density functional theory data (GGA-PBE) for a relaxed La7Pr3Y crystal.

Lattice parameters (Å, degrees): 8.8821 7.3501 7.3486 120.01 89.97 90.00
Last column: nearest neighbours and their distance in Å.
Fractional coordinates of all 11 atoms:
La (0.1104, 0.1654, 0.8348)  2 Pr 3.60-3.61, 1 Y 3.64, 8 La 3.65-3.71
La (0.1104, 0.6694, 0.8348)  2 Pr 3.60-3.61, 1 Y 3.64, 8 La 3.65-3.71
La (0.4550, 0.3309, 0.1654)  2 Pr 3.61, 7 La 3.61-3.71, 2 Y 3.68
La (0.1107, 0.1655, 0.3310)  2 Pr 3.61, 1 Y 3.64, 8 La 3.65-3.71
La (0.4550, 0.8345, 0.1654)  2 Pr 3.61, 7 La 3.61-3.71, 2 Y 3.68
La (0.4546, 0.8343, 0.6685)  7 La 3.61-3.71, 2 Pr 3.61, 2 Y 3.68
La (0.1275, 0.6666, 0.3333)  9 La 3.61-3.68, 3 Pr 3.72
Y (0.4423, 0.3334, 0.6667)  9 La 3.64-3.68, 3 Pr 3.70
Pr (0.7830, 0.5003, 0.4999)  5 La 3.61-3.72, 4 Pr 3.67-3.68, 1 Y 3.70
Pr (0.7831, 0.5002, 0.0004)  5 La 3.60-3.72, 4 Pr 3.67-3.68, 1 Y 3.70
Pr (0.7830, 0.9996, 0.4999)  5 La 3.61-3.72, 4 Pr 3.67-3.68, 1 Y 3.70

Magnetization ... 0.00 μB per cell
Uncorrected energy ... -4.874 eV/atom
Formation energy from the elements ... 0.152 eV per atom